# 1
The following is a GGA-PBE calculation of LaY4Os after structural relaxation, from the Alexandria database.

abc: 6.200 6.200 6.200
angles: 60.00 60.00 60.00
Fractional positions:
La 0.000 0.000 0.000
Y 0.376 0.376 0.376
Y 0.376 0.376 0.870
Y 0.376 0.870 0.376
Y 0.870 0.376 0.376
Os 0.750 0.750 0.750

The value obtained for the total magnetic moment is 1.40 μB/f.u. Its electronic total energy is -6.21 eV/atom. As for the calculated volume: 28.1 Å³/atom. Its space-group type is F-43m (216).

***

# 2
The following is a GGA-PBE calculation of PmScGaIr after structural relaxation, from the Alexandria database.

abc: 4.892 4.892 4.892
angles: 60.00 60.00 60.00
Fractional positions:
Pm 0.000 0.000 0.000
Sc 0.500 0.500 0.500
Ga 0.750 0.750 0.750
Ir 0.250 0.250 0.250

The value obtained for the total magnetic moment is 0.00 μB/f.u. Its electronic total energy is -6.34 eV/atom. As for the calculated volume: 20.7 Å³/atom. Its space-group type is F-43m (216).

***

Q: Which of these has the highest electronic total energy?
A: LaY4Os

***

What did the first record say?
The following is a GGA-PBE calculation of LaY4Os after structural relaxation, from the Alexandria database.

abc: 6.200 6.200 6.200
angles: 60.00 60.00 60.00
Fractional positions:
La 0.000 0.000 0.000
Y 0.376 0.376 0.376
Y 0.376 0.376 0.870
Y 0.376 0.870 0.376
Y 0.870 0.376 0.376
Os 0.750 0.750 0.750

The value obtained for the total magnetic moment is 1.40 μB/f.u. Its electronic total energy is -6.21 eV/atom. As for the calculated volume: 28.1 Å³/atom. Its space-group type is F-43m (216).